1.
The following is a DFT calculation (PBE) of crystalline Tb3Dy2Ho6Mg at its relaxed geometry.

Unit cell a=6.094 b=6.094 c=11.637 alpha=95.04 beta=95.04 gamma=120.03
Fractional positions:
Mg (0.000, 0.000, 0.000)
Ho (0.749, 0.749, 0.249)
Ho (0.251, 0.251, 0.751)
Ho (0.586, 0.918, 0.752)
Ho (0.082, 0.414, 0.248)
Ho (0.918, 0.586, 0.752)
Ho (0.414, 0.082, 0.248)
Dy (0.666, 0.334, 0.000)
Dy (0.334, 0.666, 0.000)
Tb (0.500, 0.500, 0.500)
Tb (0.834, 0.166, 0.500)
Tb (0.166, 0.834, 0.500)

Properties
Crystal system   monoclinic
V   30.70 Å³ per atom
Total magnetization   0.0 Bohr magnetons per cell
ΔH_f (0 K)   0.0287 eV per atom
Theoretical density   8.19 g/cm³
SG   C2/m

2.
The following is a DFT calculation (PBE) of crystalline Nd2Zn3Cu12Au at its relaxed geometry.

Unit cell a=9.696 b=9.696 c=9.696 alpha=37.55 beta=37.55 gamma=37.55
Fractional positions:
Nd (0.648, 0.648, 0.648)
Nd (0.352, 0.352, 0.352)
Au (0.000, 0.000, 0.000)
Cu (0.078, 0.078, 0.626)
Cu (0.803, 0.419, 0.419)
Cu (0.197, 0.581, 0.581)
Cu (0.374, 0.922, 0.922)
Cu (0.922, 0.374, 0.922)
Cu (0.078, 0.626, 0.078)
Cu (0.419, 0.419, 0.803)
Cu (0.922, 0.922, 0.374)
Cu (0.581, 0.197, 0.581)
Cu (0.581, 0.581, 0.197)
Cu (0.626, 0.078, 0.078)
Cu (0.419, 0.803, 0.419)
Zn (0.500, 0.000, 0.000)
Zn (0.000, 0.500, 0.000)
Zn (0.000, 0.000, 0.500)

Properties
Crystal system   trigonal
V   16.87 Å³ per atom
Total magnetization   0.0 Bohr magnetons per cell
ΔH_f (0 K)   0.0949 eV per atom
Theoretical density   7.90 g/cm³
SG   R-3m